Here is a relaxed structure of Te6Cl2O11 from Alexandria. Energies are from GGA-PBE.

Values from the calculation:
- energy relative to the elements, uncorrected (eV per atom) = -0.97
- DOS at the Fermi energy (states/eV/f.u.) = 0.00
- calculated total energy (eV per cell) = -191.0

abc: 6.911 6.911 15.708
angles: 90.00 90.00 119.41
Fractional coordinates of all 38 atoms:
Te  0.476  0.788  0.914
Te  0.524  0.212  0.414
Te  0.524  0.212  0.086
Te  0.476  0.788  0.586
Te  0.788  0.476  0.914
Te  0.212  0.524  0.414
Te  0.212  0.524  0.086
Te  0.788  0.476  0.586
Te  0.073  0.073  0.858
Te  0.927  0.927  0.358
Te  0.927  0.927  0.142
Te  0.073  0.073  0.642
Cl  0.127  0.446  0.750
Cl  0.873  0.554  0.250
Cl  0.446  0.127  0.750
Cl  0.554  0.873  0.250
O  0.576  0.576  0.886
O  0.424  0.424  0.386
O  0.424  0.424  0.114
O  0.576  0.576  0.614
O  0.183  0.485  0.964
O  0.817  0.515  0.464
O  0.817  0.515  0.036
O  0.183  0.485  0.536
O  0.485  0.183  0.964
O  0.515  0.817  0.464
O  0.515  0.817  0.036
O  0.485  0.183  0.536
O  0.041  0.799  0.904
O  0.959  0.201  0.404
O  0.959  0.201  0.096
O  0.041  0.799  0.596
O  0.074  0.074  0.250
O  0.926  0.926  0.750
O  0.799  0.041  0.596
O  0.201  0.959  0.096
O  0.201  0.959  0.404
O  0.799  0.041  0.904